This record from Alexandria via LeMat-Bulk describes CaZnTe2 at its PBEsol-relaxed geometry. The functional is meta-GGA SCAN. Values from VASP.

space group = C2/m
energy = -25.313 eV per atom
formation energy from raw total energies = -3.571 eV/f.u.

Cell and atoms, written as Quantum ESPRESSO input:
```
&SYSTEM
  ibrav = 0, nat = 4, ntyp = 3
/
ATOMIC_SPECIES
Ca 40.08 Ca.upf
Zn 65.41 Zn.upf
Te 127.60 Te.upf
CELL_PARAMETERS angstrom
3.643 -2.107 0.000
3.643 2.107 0.000
-2.417 0.000 7.025
ATOMIC_POSITIONS crystal
Ca 0.000 0.000 0.000
Zn 0.500 0.500 0.500
Te 0.240 0.240 0.719
Te 0.760 0.760 0.281
```